No. 1
The following is a DFT calculation (GGA-PBE) of Be3Al after structural relaxation.

abc: 2.4129 3.2035 5.4656
angles: 90.00 90.00 90.00
Positions (direct):
Be1 0.5000 0.5000 0.7041
Be2 0.0000 0.0000 0.5000
Be3 0.5000 0.5000 0.2959
Al1 0.0000 0.0000 0.0000

Output
Energy relative to the elements (eV per atom): 0.267
D(E_F) (states/eV/f.u.): 1.3
Magnetic moment (μB/f.u.): 0.00


No. 2
The following is a DFT calculation (GGA-PBE) of TlRh3Pb after structural relaxation.

abc: 4.9827 4.9827 4.9827
angles: 90.00 90.00 90.00
Positions (direct):
Pb1 0.0000 0.0000 0.0000
Tl1 0.5000 0.5000 0.5000
Rh1 0.0000 0.5000 0.0000
Rh2 0.0000 0.0000 0.5000
Rh3 0.5000 0.0000 0.0000

Output
Energy relative to the elements (eV per atom): 1.130
D(E_F) (states/eV/f.u.): 1.1
Energy relative to the lowest polymorph listed for this composition (eV/atom): 0.000
Magnetic moment (μB/f.u.): 0.00